No. 1
16
Lattice="8.126 0.000 0.000 0.000 8.736 0.424 -4.063 -4.059 5.748" Properties=species:S:1:pos:R:3 comment="K4Y3US8 | Alexandria | GGA-PBE | relaxed" e_form_raw_ev_per_fu=-28.0 pbc="T T T"
Y 2.031 2.339 3.086
Y -2.031 2.339 3.086
Y 4.063 4.368 0.212
K 4.063 0.000 0.000
K 0.000 0.000 0.000
K -2.031 -2.030 2.874
K 2.031 -2.030 2.874
S 4.063 0.442 3.179
S 6.092 2.469 0.308
S 2.029 2.208 5.864
S 4.063 4.236 2.990
S 2.033 2.469 0.308
S 0.000 0.441 3.182
S -2.029 2.208 5.864
S 0.000 4.236 2.993
U 0.000 4.368 0.212

=====

No. 2
14
Lattice="5.325 0.000 0.000 0.000 8.473 0.068 0.000 1.098 11.873" Properties=species:S:1:pos:R:3 comment="K2TeS4 | Alexandria | GGA-PBE | relaxed" relative_energy_mev_per_atom=0 e_form_raw_ev_per_fu=-3.5 pbc="T T T"
S 3.994 1.610 0.288
S 3.994 1.142 3.977
S 2.350 4.517 8.072
S 1.331 7.960 11.654
S 1.331 8.428 7.964
S 2.974 5.053 3.869
S 5.013 5.053 3.869
S 0.312 4.517 8.072
Te 3.994 2.807 2.307
Te 1.331 6.763 9.634
K 3.994 6.926 6.499
K 1.331 2.381 10.249
K 3.994 7.190 1.692
K 1.331 2.644 5.442

=====

No. 3
9
Lattice="-0.265 4.868 -0.934 -1.339 -3.514 -4.741 -6.462 0.916 6.602" Properties=species:S:1:pos:R:3 comment="Th3In2Ag4 | Alexandria | GGA-PBE | relaxed" formation_enthalpy_0k_ev_per_fu=-2.02 pbc="T T T"
Ag -2.858 0.216 1.935
Ag -5.208 2.054 -1.009
Ag -7.041 0.252 3.310
Ag -1.024 2.018 -2.384
Th -3.108 -0.431 -1.364
Th -4.958 2.701 2.290
Th 0.000 0.000 0.000
In -2.295 2.440 0.178
In -5.771 -0.170 0.748

=====

No. 4
15
Lattice="6.841 0.000 0.000 -3.420 5.922 -0.021 0.000 -3.928 5.615" Properties=species:S:1:pos:R:3 comment="Ca3U3ZnN8 | Alexandria | GGA-PBE | relaxed" e_form_raw_ev_per_fu=-14.8 pbc="T T T"
U 1.710 0.997 2.797
U -1.710 0.997 2.797
U 3.420 -1.964 2.807
Ca 1.710 2.961 -0.010
Ca -1.710 2.961 -0.010
Ca 0.000 0.000 0.000
N 0.000 1.979 1.535
N 5.054 -0.937 1.703
N -1.633 2.930 3.891
N 3.420 1.895 1.695
N 1.787 -0.937 1.703
N 1.633 2.930 3.891
N 3.420 0.015 4.059
N 0.000 0.099 3.899
Zn 0.000 -1.964 2.807

=====

No. 5
15
Lattice="9.334 0.000 0.000 -4.667 8.080 -0.029 0.000 -5.361 7.670" Properties=species:S:1:pos:R:3 comment="MnTl3In3Br8 | Alexandria | GGA-PBE | relaxed" e_form_raw_ev_per_fu=-11.3 pbc="T T T"
Tl -2.333 4.040 -0.015
Tl 0.000 0.000 0.000
Tl 2.333 4.040 -0.015
Br 4.667 3.142 2.237
Br -2.717 4.279 5.386
Br 7.384 -1.560 2.255
Br 2.717 4.279 5.386
Br 1.950 -1.560 2.255
Br 0.000 -0.423 5.404
Br 4.667 0.019 5.712
Br 0.000 2.700 1.929
In 4.667 -2.681 3.835
In 2.333 1.359 3.821
In -2.333 1.359 3.821
Mn 0.000 -2.681 3.835

=====

No. 6
19
Lattice="6.574 -5.561 -0.606 6.574 5.561 -0.606 2.683 0.000 8.204" Properties=species:S:1:pos:R:3 comment="Sm2Dy2Tm15 | Alexandria | GGA-PBE | relaxed" formation_enthalpy_0k_ev_per_fu=5.43 pbc="T T T"
Tm 3.287 -2.780 -0.303
Tm 3.854 1.673 5.554
Tm 5.403 -3.888 2.045
Tm 1.341 0.000 4.102
Tm 8.977 -2.706 2.257
Tm 8.748 0.000 0.448
Tm 5.403 3.888 2.045
Tm 3.287 2.780 -0.303
Tm 8.977 2.706 2.257
Tm 7.083 0.000 6.545
Tm 6.574 -2.214 -0.606
Tm 3.854 -1.673 5.554
Tm 6.574 2.214 -0.606
Tm 6.854 -2.706 4.736
Tm 6.854 2.706 4.736
Sm 5.190 0.000 2.293
Sm 10.641 0.000 4.700
Dy 1.649 0.000 0.728
Dy 14.183 0.000 6.265

=====

What did the fourth record say?
15
Lattice="6.841 0.000 0.000 -3.420 5.922 -0.021 0.000 -3.928 5.615" Properties=species:S:1:pos:R:3 comment="Ca3U3ZnN8 | Alexandria | GGA-PBE | relaxed" e_form_raw_ev_per_fu=-14.8 pbc="T T T"
U 1.710 0.997 2.797
U -1.710 0.997 2.797
U 3.420 -1.964 2.807
Ca 1.710 2.961 -0.010
Ca -1.710 2.961 -0.010
Ca 0.000 0.000 0.000
N 0.000 1.979 1.535
N 5.054 -0.937 1.703
N -1.633 2.930 3.891
N 3.420 1.895 1.695
N 1.787 -0.937 1.703
N 1.633 2.930 3.891
N 3.420 0.015 4.059
N 0.000 0.099 3.899
Zn 0.000 -1.964 2.807